Entry 1:
# SrScI2

A crystal of SrScI2 relaxed with PBEsol (SCAN, the Alexandria database).

abc: 5.6511 5.6511 10.3237
angles: 105.88 105.88 90.00
With the nearest neighbours (Å) after each atom.
Positions (direct):
1 I 0.1250 0.1621 0.7500  2 Sc 3.02, 2 Sr 3.21
2 I 0.4121 0.8750 0.2500  2 Sc 3.02, 2 Sr 3.21
3 Sc 0.5000 0.5000 0.0000  4 I 3.02
4 Sc 0.7500 0.2500 0.5000  4 I 3.02
5 Sr 0.0000 0.0000 0.0000  4 I 3.21
6 Sr 0.2500 0.7500 0.5000  4 I 3.21
7 I 0.6250 0.5879 0.7500  2 Sc 3.02, 2 Sr 3.21
8 I 0.8379 0.3750 0.2500  2 Sc 3.02, 2 Sr 3.21

Results
mass density = 4.2 g/cm3
uncorrected formation energy = -632.2 meV per atom
E = -225.05 eV per cell



Entry 2:
# CaMnCr2

A crystal of CaMnCr2 relaxed with PBEsol (SCAN, the Alexandria database).

abc: 2.7641 3.6453 6.3512
angles: 90.00 100.85 90.00
With the nearest neighbours (Å) after each atom.
Positions (direct):
1 Cr 0.4956 0.5000 0.2543  2 Mn 2.28, 2 Cr 2.29
2 Cr 0.0713 0.0000 0.0966  1 Mn 2.06, 2 Cr 2.29
3 Ca 0.5054 0.5000 0.7457  2 Ca 2.76, 2 Mn 3.05, 2 Cr 3.07
4 Mn 0.9278 0.0000 0.4034  3 Cr 2.06-2.28

Results
mass density = 5.3 g/cm3
E = -61.87 eV per cell



Entry 3:
# KBF4

A crystal of KBF4 relaxed with PBEsol (SCAN, the Alexandria database).

abc: 5.4120 6.9774 8.6042
angles: 90.00 90.00 90.00
With the nearest neighbours (Å) after each atom.
Positions (direct):
1 K 0.7500 0.6581 0.3161  8 F 2.70-2.86
2 B 0.2500 0.6886 0.0626  4 F 1.40-1.42
3 F 0.4627 0.8057 0.0782  1 B 1.42
4 F 0.7500 0.1024 0.5847  1 B 1.40
5 B 0.2500 0.8114 0.5626  4 F 1.40-1.42
6 F 0.0373 0.8057 0.0782  1 B 1.42
7 F 0.5373 0.1943 0.9218  1 B 1.42
8 F 0.9627 0.1943 0.9218  1 B 1.42
9 F 0.9627 0.3057 0.4218  1 B 1.42
10 F 0.2500 0.6024 0.9153  1 B 1.40
11 K 0.2500 0.3419 0.6839  8 F 2.70-2.86
12 F 0.2500 0.8976 0.4153  1 B 1.40
13 F 0.0373 0.6943 0.5782  1 B 1.42
14 F 0.7500 0.0499 0.3185  1 B 1.41
15 F 0.7500 0.3976 0.0847  1 B 1.40
16 F 0.5373 0.3057 0.4218  1 B 1.42
17 F 0.4627 0.6943 0.5782  1 B 1.42
18 K 0.7500 0.8419 0.8161  8 F 2.70-2.86
19 F 0.2500 0.5499 0.1815  1 B 1.41
20 B 0.7500 0.1886 0.4374  4 F 1.40-1.42
21 K 0.2500 0.1581 0.1839  8 F 2.70-2.86
22 F 0.2500 0.9501 0.6815  1 B 1.41
23 B 0.7500 0.3114 0.9374  4 F 1.40-1.42
24 F 0.7500 0.4501 0.8185  1 B 1.41

Results
mass density = 2.6 g/cm3
uncorrected formation energy = -3193.6 meV per atom
E = -196.32 eV per cell



Entry 4:
# MnCoSb

A crystal of MnCoSb relaxed with PBEsol (SCAN, the Alexandria database).

abc: 4.1445 4.1445 4.1445
angles: 60.00 60.00 60.00
With the nearest neighbours (Å) after each atom.
Positions (direct):
1 Sb 0.7500 0.7500 0.7500  4 Mn 2.54, 4 Co 2.54
2 Mn 0.0000 0.0000 0.0000  4 Sb 2.54
3 Co 0.5000 0.5000 0.5000  4 Sb 2.54

Results
mass density = 7.8 g/cm3
uncorrected formation energy = 189.8 meV per atom
E = -72.25 eV per cell



Entry 5:
# SbAu2

A crystal of SbAu2 relaxed with PBEsol (SCAN, the Alexandria database).

abc: 3.6915 3.6915 5.0477
angles: 111.45 111.45 90.00
With the nearest neighbours (Å) after each atom.
Positions (direct):
1 Au 0.8316 0.8316 0.6633  5 Sb 2.87-2.99, 5 Au 2.91-2.97
2 Au 0.1684 0.1684 0.3367  5 Sb 2.87-2.99, 5 Au 2.91-2.97
3 Sb 0.5000 0.5000 0.0000  10 Au 2.87-2.99

Results
mass density = 14.5 g/cm3
uncorrected formation energy = 90.0 meV per atom
E = -175.30 eV per cell



Entry 6:
# Si4Mo3

A crystal of Si4Mo3 relaxed with PBEsol (SCAN, the Alexandria database).

abc: 3.1693 3.1693 9.6996
angles: 99.40 99.40 90.00
With the nearest neighbours (Å) after each atom.
Positions (direct):
1 Si 0.5690 0.5690 0.1380  5 Mo 2.59, 5 Si 2.60-2.62
2 Mo 0.0000 0.0000 0.0000  10 Si 2.59-2.67
3 Si 0.1413 0.1413 0.2827  5 Mo 2.55-2.67, 4 Si 2.62
4 Mo 0.2939 0.2939 0.5878  5 Si 2.55-2.59, 4 Mo 2.79
5 Si 0.4310 0.4310 0.8620  5 Mo 2.59, 5 Si 2.60-2.62
6 Mo 0.7061 0.7061 0.4122  5 Si 2.55-2.59, 4 Mo 2.79
7 Si 0.8587 0.8587 0.7173  5 Mo 2.55-2.67, 4 Si 2.62

Results
mass density = 7.0 g/cm3
uncorrected formation energy = -406.7 meV per atom
E = -147.57 eV per cell



Entry 7:
# CaSc3Si

A crystal of CaSc3Si relaxed with PBEsol (SCAN, the Alexandria database).

abc: 4.8467 4.8467 4.8467
angles: 90.00 90.00 90.00
With the nearest neighbours (Å) after each atom.
Positions (direct):
1 Sc 0.0000 0.0000 0.5000  2 Ca 2.42
2 Si 0.5000 0.5000 0.5000  12 Sc 3.43
3 Ca 0.0000 0.0000 0.0000  6 Sc 2.42
4 Sc 0.0000 0.5000 0.0000  2 Ca 2.42
5 Sc 0.5000 0.0000 0.0000  2 Ca 2.42

Results
mass density = 3.0 g/cm3
energy above the lowest structure with this stoichiometry = 140.63 kJ per mole of atoms
uncorrected formation energy = 1390.7 meV per atom
E = -55.44 eV per cell



Entry 8:
# SbAsCl

A crystal of SbAsCl relaxed with PBEsol (SCAN, the Alexandria database).

abc: 3.7499 3.7499 7.0442
angles: 105.44 105.44 90.00
With the nearest neighbours (Å) after each atom.
Positions (direct):
1 Cl 0.3573 0.3573 0.7146  1 Sb 2.37
2 Sb 0.5390 0.5390 0.0779  1 Cl 2.37
3 As 0.1037 0.1037 0.2075  4 Sb 2.78

Results
mass density = 4.2 g/cm3
uncorrected formation energy = -118.3 meV per atom
E = -65.78 eV per cell



Entry 9:
# Zn2SiAg

A crystal of Zn2SiAg relaxed with PBEsol (SCAN, the Alexandria database).

abc: 2.6826 4.6881 4.9476
angles: 90.00 90.00 90.00
With the nearest neighbours (Å) after each atom.
Positions (direct):
1 Si 0.0000 0.5000 0.5000  2 Si 2.68, 4 Zn 2.70, 4 Ag 2.81
2 Zn 0.5000 0.0000 0.5000  6 Zn 2.68-2.81, 4 Si 2.70
3 Zn 0.0000 0.0000 0.0000  6 Zn 2.68-2.81, 4 Ag 2.70
4 Ag 0.5000 0.5000 0.0000  2 Ag 2.68, 4 Zn 2.70, 4 Si 2.81

Results
mass density = 7.1 g/cm3
uncorrected formation energy = 290.8 meV per atom
E = -67.25 eV per cell



Entry 10:
# LiMnPt2

A crystal of LiMnPt2 relaxed with PBEsol (SCAN, the Alexandria database).

abc: 4.3264 4.3264 4.3264
angles: 60.00 60.00 60.00
With the nearest neighbours (Å) after each atom.
Positions (direct):
1 Pt 0.2500 0.2500 0.2500  4 Li 2.65, 4 Pt 2.65
2 Mn 0.7500 0.7500 0.7500  4 Li 2.65, 4 Pt 2.65
3 Pt 0.0000 0.0000 0.0000  4 Mn 2.65, 4 Pt 2.65
4 Li 0.5000 0.5000 0.5000  4 Pt 2.65, 4 Mn 2.65

Results
mass density = 13.1 g/cm3
energy above the lowest structure with this stoichiometry = 21.89 kJ per mole of atoms
E = -163.09 eV per cell



Entry 11:
# TaRuRh2

A crystal of TaRuRh2 relaxed with PBEsol (SCAN, the Alexandria database).

abc: 2.7528 4.6957 4.7352
angles: 99.89 90.00 107.04
With the nearest neighbours (Å) after each atom.
Positions (direct):
1 Rh 0.2475 0.4951 0.7369  3 Ru 2.65-2.66, 4 Ta 2.72-2.76, 5 Rh 2.73-2.75
2 Ta 0.7502 0.5004 0.2434  7 Rh 2.71-2.76, 2 Ta 2.75, 3 Ru 2.77-2.78
3 Ru 0.5016 0.0032 0.5205  7 Rh 2.65-2.83, 2 Ru 2.75, 3 Ta 2.77-2.78
4 Rh 0.0007 0.0014 0.9991  4 Ru 2.65-2.83, 3 Ta 2.71, 5 Rh 2.73-2.75

Results
mass density = 14.1 g/cm3
energy above the lowest structure with this stoichiometry = 23.82 kJ per mole of atoms
E = -170.08 eV per cell



Entry 12:
# AlTe2Ir

A crystal of AlTe2Ir relaxed with PBEsol (SCAN, the Alexandria database).

abc: 3.3187 3.3187 7.4243
angles: 90.00 90.00 90.00
With the nearest neighbours (Å) after each atom.
Positions (direct):
1 Ir 0.5000 0.5000 0.5000  8 Te 2.87
2 Te 0.0000 0.0000 0.7225  4 Ir 2.87, 4 Al 3.12
3 Al 0.5000 0.5000 0.0000  8 Te 3.12, 4 Al 3.32
4 Te 0.0000 0.0000 0.2775  4 Ir 2.87, 4 Al 3.12

Results
mass density = 9.6 g/cm3
energy above the lowest structure with this stoichiometry = 66.32 kJ per mole of atoms
uncorrected formation energy = 435.5 meV per atom
E = -151.61 eV per cell



| no. | Fermi-level density of states (states/eV/f.u.) |
| --- | --- |
| 1 | 3.88 |
| 2 | 4.32 |
| 3 | 0.00 |
| 4 | 1.62 |
| 5 | 1.18 |
| 6 | 1.74 |
| 7 | 3.92 |
| 8 | 0.68 |
| 9 | 1.27 |
| 10 | 1.50 |
| 11 | 3.38 |
| 12 | 2.62 |